CdNiAs | PBE-GGA | optimized geometry

Output
- calculated formation energy (eV per atom) = -0.03
- theoretical density (g/cm3) = 7.8
- volume (Å³/cell) = 52
- magnetization (μB per formula unit) = 0.0

abc: 6.288 6.288 6.288
angles: 152.69 152.69 39.01
Element x y z (fractional)
Cd 0.000 0.000 0.000
Ni 0.340 0.340 0.000
As 0.729 0.729 0.000